DFT (PBE) results for a relaxed LiAgBiO4 crystal.

As for the symmetry: Imma. As for the uncorrected formation energy: -0.829 eV/atom.

Geometry as POSCAR:
```
LiAgBiO4
1.0
6.2421 0.0000 0.0000
-3.1210 5.9536 -0.1860
0.0000 -3.3795 5.5577
Li Ag Bi O
2 2 2 8
Direct
0.8474 0.6949 0.0974
0.1526 0.3051 0.9026
0.5000 0.5000 0.5000
0.0000 0.5000 0.5000
0.5000 0.0000 0.5000
0.5000 0.0000 0.0000
0.7159 0.4318 0.6984
0.2520 0.9696 0.2348
0.7175 0.9696 0.2348
0.7159 0.4318 0.2334
0.2841 0.5682 0.7666
0.7480 0.0304 0.7652
0.2825 0.0304 0.7652
0.2841 0.5682 0.3016
```



DFT (PBE) results for a relaxed KPrNd2Te4 crystal.

As for the symmetry: P2/m. As for the uncorrected formation energy: -1.399 eV/atom.

Geometry as POSCAR:
```
KPrNd2Te4
1.0
4.5256 0.0000 0.0000
0.0000 7.9928 -0.2211
0.0000 2.7532 7.4938
K Pr Nd Te
1 1 2 4
Direct
0.0000 0.5000 0.5000
0.5000 0.5000 0.0000
0.0000 0.0000 0.0000
0.5000 0.0000 0.5000
0.0000 0.7560 0.7526
0.0000 0.2440 0.2474
0.5000 0.7629 0.2388
0.5000 0.2371 0.7612
```



DFT (PBE) results for a relaxed ScBe2Cr crystal.

As for the relative energy among the computed polymorphs: 0.473 eV/atom. As for the symmetry: R-3m. The calculation puts the energy of formation from the pure elements at 0.52 eV per atom.

Geometry as POSCAR:
```
ScBe2Cr
1.0
8.6893 -0.0053 -0.0031
8.2946 2.5893 -0.0031
8.2946 1.2620 2.2610
Sc Cr Be
1 1 2
Direct
0.7500 0.7500 0.7500
0.2500 0.2500 0.2500
0.9902 0.9902 0.9902
0.5098 0.5098 0.5098
```



Computed values of total magnetic moment (unit: μB/cell) for the preceding records, in sequence: 2.0, 0.0, 0.2.